Record 1
Sm2Al4Cu3Ni | PBE | optimized geometry

Results
- Crystal system: tetragonal
- Total magnetization: 0.0 μB per formula unit
- Mass density: 6.2 g cm⁻³
- Final energy: -46.9 eV/cell
- Formation enthalpy at 0 K: -0.44 eV per atom
- Calculated volume: 17.7 Å³/atom

Cell lengths 4.181, 4.181, 10.140 Å; angles 90.00, 90.00, 90.00 degrees
Fractional coordinates of all 10 atoms:
Sm 0.500 0.000 0.258
Sm 0.000 0.500 0.742
Al 0.500 0.500 0.000
Al 0.000 0.000 0.000
Al 0.500 0.000 0.621
Al 0.000 0.500 0.379
Cu 0.000 0.000 0.500
Cu 0.500 0.000 0.864
Cu 0.000 0.500 0.136
Ni 0.500 0.500 0.500


Record 2
Tl2AgHgSb2 | PBE | optimized geometry

Results
- Crystal system: orthorhombic
- Total magnetization: 0.0 μB per formula unit
- Formation energy without anion corrections: 0.0347 eV per atom
- Mass density: 9.3 g cm⁻³
- Final energy: -31.8 eV/cell
- Calculated volume: 28.7 Å³/atom

Cell lengths 6.331, 6.386, 9.619 Å; angles 109.39, 109.21, 90.00 degrees
Fractional coordinates of all 12 atoms:
Tl 0.414 0.181 0.362
Tl 0.586 0.819 0.638
Tl 0.052 0.319 0.638
Tl 0.948 0.681 0.362
Ag 0.500 0.750 0.000
Ag 0.500 0.250 0.000
Hg 0.000 0.750 0.000
Hg 0.000 0.250 0.000
Sb 0.844 0.114 0.228
Sb 0.384 0.614 0.228
Sb 0.616 0.386 0.772
Sb 0.156 0.886 0.772


Record 3
Tl2Zn2Pt | PBE | optimized geometry

Results
- Crystal system: tetragonal
- Total magnetization: 0.0 μB per formula unit
- Mass density: 11.1 g cm⁻³
- Final energy: -26.4 eV/cell
- Energy relative to the lowest polymorph listed for this composition: 0 meV/atom
- Formation enthalpy at 0 K: 0.03 eV per atom
- Calculated volume: 22.0 Å³/atom

Cell lengths 6.667, 6.667, 4.953 Å; angles 90.00, 90.00, 90.00 degrees
Fractional coordinates of all 10 atoms:
Tl 0.179 0.679 0.500
Tl 0.679 0.821 0.500
Tl 0.821 0.321 0.500
Tl 0.321 0.179 0.500
Zn 0.356 0.856 0.000
Zn 0.856 0.644 0.000
Zn 0.644 0.144 0.000
Zn 0.144 0.356 0.000
Pt 0.000 0.000 0.000
Pt 0.500 0.500 0.000


Record 4
YCr2Ru2 | PBE | optimized geometry

Results
- Crystal system: tetragonal
- Total magnetization: 2.9 μB per formula unit
- Mass density: 8.3 g cm⁻³
- Final energy: -86.8 eV/cell
- Energy relative to the lowest polymorph listed for this composition: 183 meV/atom
- Formation enthalpy at 0 K: 0.17 eV per atom
- Calculated volume: 15.7 Å³/atom

Cell lengths 7.462, 7.462, 2.825 Å; angles 90.00, 90.00, 90.00 degrees
Fractional coordinates of all 10 atoms:
Y 0.000 0.000 0.000
Y 0.500 0.500 0.000
Ru 0.166 0.666 0.500
Ru 0.666 0.834 0.500
Ru 0.834 0.334 0.500
Ru 0.334 0.166 0.500
Cr 0.377 0.877 0.000
Cr 0.877 0.623 0.000
Cr 0.623 0.123 0.000
Cr 0.123 0.377 0.000


Record 5
NdSbPd | PBE | optimized geometry

Results
- Crystal system: orthorhombic
- Total magnetization: 0.0 μB per formula unit
- Formation energy without anion corrections: -0.8654 eV per atom
- Mass density: 8.2 g cm⁻³
- Final energy: -66.7 eV/cell
- Calculated volume: 25.0 Å³/atom

Cell lengths 4.569, 8.086, 8.123 Å; angles 90.00, 90.00, 90.00 degrees
Fractional coordinates of all 12 atoms:
Nd 0.500 0.750 0.501
Nd 0.000 0.750 0.998
Nd 0.500 0.250 0.499
Nd 0.000 0.250 0.002
Sb 0.500 0.499 0.821
Sb 0.500 0.999 0.179
Sb 0.500 0.501 0.179
Sb 0.500 0.001 0.821
Pd 0.000 0.502 0.333
Pd 0.000 0.498 0.667
Pd 0.000 0.998 0.333
Pd 0.000 0.002 0.667


Record 6
YSi3Pd3 | PBE | optimized geometry

Results
- Crystal system: cubic
- Total magnetization: 0.0 μB per formula unit
- Formation energy without anion corrections: -0.3397 eV per atom
- Mass density: 5.7 g cm⁻³
- Final energy: -81.4 eV/cell
- Energy relative to the lowest polymorph listed for this composition: 207 meV/atom
- Calculated volume: 20.3 Å³/atom

Cell lengths 6.578, 6.578, 6.578 Å; angles 90.00, 90.00, 90.00 degrees
Fractional coordinates of all 14 atoms:
Y 0.500 0.500 0.500
Y 0.000 0.000 0.000
Si 0.000 0.250 0.500
Si 0.000 0.750 0.500
Si 0.500 0.000 0.750
Si 0.750 0.500 0.000
Si 0.500 0.000 0.250
Si 0.250 0.500 0.000
Pd 0.250 0.000 0.500
Pd 0.000 0.500 0.250
Pd 0.500 0.750 0.000
Pd 0.750 0.000 0.500
Pd 0.000 0.500 0.750
Pd 0.500 0.250 0.000


Record 7
KZnSi | PBE | optimized geometry

Results
- Crystal system: cubic
- Total magnetization: 0.4 μB per formula unit
- Formation energy without anion corrections: 0.5305 eV per atom
- Mass density: 2.8 g cm⁻³
- Final energy: -6.2 eV/cell
- Energy relative to the lowest polymorph listed for this composition: 505 meV/atom
- Calculated volume: 26.3 Å³/atom

Cell lengths 4.816, 4.816, 4.816 Å; angles 60.00, 60.00, 60.00 degrees
Fractional coordinates of all 3 atoms:
K 0.000 0.000 0.000
Si 0.500 0.500 0.500
Zn 0.750 0.750 0.750


Record 8
Tb3HgIr | PBE | optimized geometry

Results
- Crystal system: triclinic
- Total magnetization: 0.0 μB per formula unit
- Mass density: 11.2 g cm⁻³
- Final energy: -51.9 eV/cell
- Energy relative to the lowest polymorph listed for this composition: 35 meV/atom
- Formation enthalpy at 0 K: -0.58 eV per atom
- Calculated volume: 25.7 Å³/atom

Cell lengths 5.905, 6.423, 8.779 Å; angles 110.75, 78.54, 124.21 degrees
Fractional coordinates of all 10 atoms:
Tb 0.500 0.800 0.103
Tb 0.130 0.431 0.721
Tb 0.869 0.797 0.721
Tb 0.131 0.203 0.279
Tb 0.500 0.200 0.897
Tb 0.870 0.569 0.279
Hg 0.485 0.212 0.507
Hg 0.515 0.788 0.493
Ir 0.000 0.750 0.999
Ir 0.000 0.250 0.001


Record 9
Sr3Au | PBE | optimized geometry

Results
- Crystal system: hexagonal
- Total magnetization: 0.0 μB per formula unit
- Mass density: 5.1 g cm⁻³
- Final energy: -35.8 eV/cell
- Formation enthalpy at 0 K: -0.15 eV per atom
- Calculated volume: 37.4 Å³/atom

Cell lengths 7.548, 7.548, 12.142 Å; angles 90.00, 90.00, 120.00 degrees
Fractional coordinates of all 16 atoms:
Sr 0.500 0.000 0.000
Sr 0.500 0.000 0.500
Sr 0.000 0.500 0.000
Sr 0.500 0.500 0.000
Sr 0.500 0.500 0.500
Sr 0.000 0.500 0.500
Sr 0.840 0.679 0.250
Sr 0.160 0.321 0.750
Sr 0.321 0.160 0.250
Sr 0.840 0.160 0.250
Sr 0.160 0.840 0.750
Sr 0.679 0.840 0.750
Au 0.000 0.000 0.000
Au 0.000 0.000 0.500
Au 0.333 0.667 0.250
Au 0.667 0.333 0.750


Record 10
CaNdGdHo | PBE | optimized geometry

Results
- Crystal system: cubic
- Total magnetization: 7.5 μB per formula unit
- Mass density: 6.1 g cm⁻³
- Final energy: -24.9 eV/cell
- Formation enthalpy at 0 K: 0.12 eV per atom
- Calculated volume: 34.5 Å³/atom

Cell lengths 5.799, 5.799, 5.799 Å; angles 60.00, 60.00, 60.00 degrees
Fractional coordinates of all 4 atoms:
Ca 0.250 0.250 0.250
Gd 0.000 0.000 0.000
Nd 0.500 0.500 0.500
Ho 0.750 0.750 0.750


Record 11
GaNiAu | PBE | optimized geometry

Results
- Crystal system: monoclinic
- Total magnetization: 0.0 μB per formula unit
- Mass density: 11.8 g cm⁻³
- Final energy: -25.3 eV/cell
- Formation enthalpy at 0 K: -0.19 eV per atom
- Calculated volume: 15.3 Å³/atom

Cell lengths 3.983, 2.814, 8.232 Å; angles 90.00, 95.71, 90.00 degrees
Fractional coordinates of all 6 atoms:
Ga 0.754 0.500 0.603
Ga 0.191 0.500 0.281
Ni 0.252 0.000 0.541
Ni 0.706 0.000 0.342
Au 0.102 0.000 0.850
Au 0.640 0.500 0.054


Record 12
ErTiBe2Pt5 | PBE | optimized geometry

Results
- Crystal system: tetragonal
- Total magnetization: 0.0 μB per formula unit
- Mass density: 14.4 g cm⁻³
- Final energy: -56.8 eV/cell
- Formation enthalpy at 0 K: -0.75 eV per atom
- Calculated volume: 15.5 Å³/atom

Cell lengths 4.383, 4.383, 7.261 Å; angles 90.00, 90.00, 90.00 degrees
Fractional coordinates of all 9 atoms:
Er 0.000 0.000 0.500
Ti 0.000 0.000 0.000
Be 0.500 0.500 0.160
Be 0.500 0.500 0.840
Pt 0.000 0.500 0.219
Pt 0.500 0.000 0.219
Pt 0.000 0.500 0.781
Pt 0.500 0.000 0.781
Pt 0.500 0.500 0.500


Record 13
ZrCoP | PBE | optimized geometry

Results
- Crystal system: hexagonal
- Total magnetization: 0.0 μB per formula unit
- Mass density: 6.8 g cm⁻³
- Final energy: -70.6 eV/cell
- Formation enthalpy at 0 K: -0.82 eV per atom
- Calculated volume: 14.7 Å³/atom

Cell lengths 6.429, 6.429, 3.693 Å; angles 90.00, 90.00, 120.00 degrees
Fractional coordinates of all 9 atoms:
Zr 0.616 0.000 0.500
Zr 0.000 0.616 0.500
Zr 0.384 0.384 0.500
Co 0.333 0.667 0.000
Co 0.667 0.333 0.000
Co 0.000 0.000 0.500
P 0.291 0.000 0.000
P 0.000 0.291 0.000
P 0.709 0.709 0.000


Record 14
Li2Mg2Sn | PBE | optimized geometry

Results
- Crystal system: monoclinic
- Total magnetization: 0.0 μB per formula unit
- Mass density: 2.5 g cm⁻³
- Final energy: -11.2 eV/cell
- Energy relative to the lowest polymorph listed for this composition: 78 meV/atom
- Formation enthalpy at 0 K: -0.05 eV per atom
- Calculated volume: 24.4 Å³/atom

Cell lengths 6.536, 6.530, 5.172 Å; angles 56.70, 56.66, 97.21 degrees
Fractional coordinates of all 5 atoms:
Li 0.000 0.500 0.500
Li 0.500 0.000 0.500
Mg 0.670 0.670 0.996
Mg 0.330 0.330 0.004
Sn 0.000 0.000 0.000


Record 15
PrScPb | PBE | optimized geometry

Results
- Crystal system: hexagonal
- Total magnetization: 0.0 μB per formula unit
- Mass density: 7.3 g cm⁻³
- Final energy: -15.7 eV/cell
- Energy relative to the lowest polymorph listed for this composition: 154 meV/atom
- Formation enthalpy at 0 K: -0.31 eV per atom
- Calculated volume: 29.8 Å³/atom

Cell lengths 4.137, 4.995, 4.995 Å; angles 120.00, 90.00, 90.00 degrees
Fractional coordinates of all 3 atoms:
Pb 0.167 0.000 0.000
Pr 0.667 0.333 0.667
Sc 0.167 0.667 0.333


Record 16
Ce4TlIr | PBE | optimized geometry

Results
- Crystal system: cubic
- Total magnetization: 4.4 μB per formula unit
- Mass density: 9.5 g cm⁻³
- Final energy: -148.0 eV/cell
- Energy relative to the lowest polymorph listed for this composition: 0 meV/atom
- Formation enthalpy at 0 K: -0.34 eV per atom
- Calculated volume: 27.8 Å³/atom

Cell lengths 9.804, 9.804, 9.804 Å; angles 60.00, 60.00, 60.00 degrees
Fractional coordinates of all 24 atoms:
Ce 0.401 0.401 0.401
Ce 0.796 0.401 0.401
Ce 0.401 0.796 0.401
Ce 0.401 0.401 0.796
Ce 0.555 0.555 0.945
Ce 0.945 0.945 0.555
Ce 0.555 0.945 0.555
Ce 0.945 0.555 0.945
Ce 0.945 0.555 0.555
Ce 0.555 0.945 0.945
Ce 0.189 0.189 0.811
Ce 0.811 0.811 0.189
Ce 0.189 0.811 0.189
Ce 0.811 0.189 0.811
Ce 0.811 0.189 0.189
Ce 0.189 0.811 0.811
Tl 0.167 0.167 0.167
Tl 0.499 0.167 0.167
Tl 0.167 0.499 0.167
Tl 0.167 0.167 0.499
Ir 0.610 0.610 0.610
Ir 0.170 0.610 0.610
Ir 0.610 0.170 0.610
Ir 0.610 0.610 0.170


Record 17
CdGa3Ag | PBE | optimized geometry

Results
- Crystal system: triclinic
- Total magnetization: 0.0 μB per formula unit
- Mass density: 7.3 g cm⁻³
- Final energy: -25.5 eV/cell
- Energy relative to the lowest polymorph listed for this composition: 0 meV/atom
- Formation enthalpy at 0 K: 0.01 eV per atom
- Calculated volume: 19.6 Å³/atom

Cell lengths 5.665, 6.599, 7.772 Å; angles 137.52, 89.68, 90.21 degrees
Fractional coordinates of all 10 atoms:
Cd 0.630 0.523 0.360
Cd 0.086 0.472 0.638
Ga 0.839 0.800 0.169
Ga 0.132 0.701 0.386
Ga 0.339 0.211 0.856
Ga 0.585 0.300 0.617
Ga 0.356 0.819 0.163
Ga 0.857 0.175 0.816
Ag 0.086 0.113 0.106
Ag 0.591 0.885 0.890


Record 18
NdTmS2O | PBE | optimized geometry

Results
- Crystal system: tetragonal
- Total magnetization: 0.0 μB per formula unit
- Formation energy without anion corrections: -2.4856 eV per atom
- Mass density: 6.1 g cm⁻³
- Final energy: -69.8 eV/cell
- Calculated volume: 21.3 Å³/atom

Cell lengths 3.920, 3.920, 13.877 Å; angles 90.00, 90.00, 90.00 degrees
Fractional coordinates of all 10 atoms:
Nd 0.500 0.000 0.590
Nd 0.000 0.500 0.410
Tm 0.500 0.000 0.119
Tm 0.000 0.500 0.881
S 0.000 0.500 0.703
S 0.000 0.500 0.089
S 0.500 0.000 0.911
S 0.500 0.000 0.297
O 0.000 0.000 0.500
O 0.500 0.500 0.500


Record 19
YAl2Cd2 | PBE | optimized geometry

Results
- Crystal system: tetragonal
- Total magnetization: 0.4 μB per formula unit
- Mass density: 5.6 g cm⁻³
- Final energy: -32.2 eV/cell
- Energy relative to the lowest polymorph listed for this composition: 175 meV/atom
- Formation enthalpy at 0 K: -0.07 eV per atom
- Calculated volume: 21.9 Å³/atom

Cell lengths 8.067, 8.067, 3.371 Å; angles 90.00, 90.00, 90.00 degrees
Fractional coordinates of all 10 atoms:
Y 0.000 0.000 0.000
Y 0.500 0.500 0.000
Al 0.376 0.876 0.000
Al 0.876 0.624 0.000
Al 0.624 0.124 0.000
Al 0.124 0.376 0.000
Cd 0.171 0.671 0.500
Cd 0.671 0.829 0.500
Cd 0.829 0.329 0.500
Cd 0.329 0.171 0.500


Record 20
NdY12Er7 | PBE | optimized geometry

Results
- Crystal system: trigonal
- Total magnetization: 0.0 μB per formula unit
- Mass density: 6.1 g cm⁻³
- Final energy: -108.4 eV/cell
- Energy relative to the lowest polymorph listed for this composition: 0 meV/atom
- Formation enthalpy at 0 K: 0.29 eV per atom
- Calculated volume: 32.4 Å³/atom

Cell lengths 8.696, 8.696, 8.696 Å; angles 95.30, 95.30, 95.30 degrees
Fractional coordinates of all 20 atoms:
Nd 0.000 0.000 0.000
Y 0.812 0.250 0.683
Y 0.750 0.317 0.188
Y 0.475 0.147 0.414
Y 0.853 0.586 0.525
Y 0.317 0.188 0.750
Y 0.586 0.525 0.853
Y 0.414 0.475 0.147
Y 0.683 0.812 0.250
Y 0.147 0.414 0.475
Y 0.525 0.853 0.586
Y 0.250 0.683 0.812
Y 0.188 0.750 0.317
Er 0.919 0.649 0.983
Er 0.351 0.017 0.081
Er 0.017 0.081 0.351
Er 0.500 0.500 0.500
Er 0.983 0.919 0.649
Er 0.649 0.983 0.919
Er 0.081 0.351 0.017


Record 21
Y2CdHgH | PBE | optimized geometry

Results
- Crystal system: tetragonal
- Total magnetization: 0.7 μB per formula unit
- Mass density: 7.9 g cm⁻³
- Final energy: -19.1 eV/cell
- Calculated volume: 20.7 Å³/atom

Cell lengths 4.816, 4.816, 4.465 Å; angles 90.00, 90.00, 90.00 degrees
Fractional coordinates of all 5 atoms:
Y 0.000 0.500 0.000
Y 0.500 0.000 0.000
H 0.000 0.000 0.000
Hg 0.500 0.500 0.500
Cd 0.000 0.000 0.500


Record 22
BaNaSr2N | PBE | optimized geometry

Results
- Crystal system: tetragonal
- Total magnetization: 0.0 μB per formula unit
- Formation energy without anion corrections: -0.2032 eV per atom
- Mass density: 3.3 g cm⁻³
- Final energy: -15.9 eV/cell
- Calculated volume: 34.7 Å³/atom

Cell lengths 5.433, 5.433, 5.870 Å; angles 90.00, 90.00, 90.00 degrees
Fractional coordinates of all 5 atoms:
Sr 0.000 0.500 0.000
Sr 0.500 0.000 0.000
N 0.000 0.000 0.000
Ba 0.000 0.000 0.500
Na 0.500 0.500 0.500


Record 23
HfMn4B2 | PBE | optimized geometry

Results
- Crystal system: orthorhombic
- Total magnetization: 4.3 μB per formula unit
- Mass density: 9.3 g cm⁻³
- Final energy: -62.5 eV/cell
- Formation enthalpy at 0 K: -0.37 eV per atom
- Calculated volume: 10.7 Å³/atom

Cell lengths 3.356, 3.406, 6.764 Å; angles 104.58, 90.00, 90.00 degrees
Fractional coordinates of all 7 atoms:
Hf 0.000 0.000 0.000
Mn 0.500 0.825 0.651
Mn 0.000 0.677 0.355
Mn 0.500 0.175 0.349
Mn 0.000 0.323 0.645
B 0.500 0.569 0.138
B 0.500 0.431 0.862